3
Lattice="-2.006 0.728 3.784 -3.775 -1.965 0.870 -0.176 -3.134 3.004" Properties=species:S:1:pos:R:3 comment="YMnBe (PBE-GGA, relaxed)" relative_energy_mev_per_atom=317 n_ef_per_ev_atom=1.12 total_energy_ev_per_cell=-18.06 delta_e_f_ev_per_atom=0.435 pbc="T T T"
Mn 0.000 0.000 0.000
Be -4.468 -3.278 5.743
Y -2.979 -2.186 3.829

5
Lattice="5.593 0.000 0.000 0.000 5.593 0.000 0.000 0.000 5.593" Properties=species:S:1:pos:R:3 comment="SiHI3 (PBE-GGA, relaxed)" relative_energy_mev_per_atom=788 n_ef_per_ev_atom=1.00 total_energy_ev_per_cell=-10.89 pbc="T T T"
I 0.000 2.797 0.000
I 0.000 0.000 2.797
I 2.797 0.000 0.000
Si 0.000 0.000 0.000
H 2.797 2.797 2.797

8
Lattice="-4.754 2.668 -1.853 -2.617 -1.200 4.986 5.557 4.089 0.577" Properties=species:S:1:pos:R:3 comment="Ag2AsAuS4 (PBE-GGA, relaxed)" n_ef_per_ev_atom=0.36 total_energy_ev_per_cell=-30.20 formation_energy_uncorrected_mev_per_atom=-7.0 pbc="T T T"
As -2.802 3.009 2.577
S -2.727 1.001 3.607
S -0.709 3.824 2.343
S -3.754 2.757 0.546
S 3.353 2.986 0.682
Ag 0.510 4.087 4.576
Ag 0.884 2.274 1.012
Au -0.561 6.022 1.155

6
Lattice="4.147 0.000 0.000 -2.074 4.195 0.000 0.000 0.000 6.953" Properties=species:S:1:pos:R:3 comment="ErPdPt (PBE-GGA, relaxed)" relative_energy_mev_per_atom=180 n_ef_per_ev_atom=0.61 total_energy_ev_per_cell=-36.82 delta_e_f_ev_per_atom=-0.871 pbc="T T T"
Er 2.074 0.000 3.477
Er 2.074 0.000 0.000
Pd 0.000 1.348 5.215
Pd 2.074 2.847 1.738
Pt 0.000 1.270 1.738
Pt 2.074 2.925 5.215